An optimized crystal structure of ErFeB4. Source: the Open Quantum Materials Database, functional PBE.

Cell and atoms, written as POSCAR:
```
ErFeB4
1.0
-1.570 2.643 3.485
1.570 -2.643 3.485
1.570 2.643 -3.485
Er Fe B
1 1 4
Direct
0.000 0.000 0.000 Er
0.500 0.500 0.000 Fe
0.086 0.751 0.334 B
0.417 0.751 0.666 B
0.583 0.249 0.334 B
0.914 0.249 0.666 B
```

Properties
The space group is Immm (71). The calculation puts the total magnetic moment at 2.2 μB/f.u. For the relative energy among the computed polymorphs, the calculation gives 384 meV per atom.

***

An optimized crystal structure of ErFeB4. Source: the Open Quantum Materials Database, functional PBE.

Cell and atoms, written as POSCAR:
```
ErFeB4
1.0
5.858 0.000 0.000
0.000 11.332 0.000
0.000 0.000 3.349
Er Fe B
4 4 16
Direct
0.127 0.150 0.000 Er
0.373 0.650 0.000 Er
0.627 0.350 0.000 Er
0.873 0.850 0.000 Er
0.133 0.411 0.000 Fe
0.367 0.911 0.000 Fe
0.633 0.089 0.000 Fe
0.867 0.589 0.000 Fe
0.024 0.691 0.500 B
0.112 0.546 0.500 B
0.138 0.968 0.500 B
0.216 0.816 0.500 B
0.284 0.316 0.500 B
0.362 0.468 0.500 B
0.388 0.046 0.500 B
0.476 0.191 0.500 B
0.524 0.809 0.500 B
0.612 0.954 0.500 B
0.638 0.532 0.500 B
0.716 0.684 0.500 B
0.784 0.184 0.500 B
0.862 0.032 0.500 B
0.888 0.454 0.500 B
0.976 0.309 0.500 B
```

Properties
The space group is Pbam (55). The calculation puts the total magnetic moment at 0.0 μB/f.u. For the relative energy among the computed polymorphs, the calculation gives 0 meV per atom.

***

An optimized crystal structure of Er2Fe14B. Source: the Open Quantum Materials Database, functional PBE.

Cell and atoms, written as POSCAR:
```
Er2Fe14B
1.0
8.702 0.000 0.000
0.000 8.702 0.000
0.000 0.000 11.847
Er Fe B
8 56 4
Direct
0.143 0.143 0.000 Er
0.232 0.232 0.500 Er
0.268 0.732 0.000 Er
0.357 0.643 0.500 Er
0.643 0.357 0.500 Er
0.732 0.268 0.000 Er
0.768 0.768 0.500 Er
0.857 0.857 0.000 Er
0.000 0.000 0.384 Fe
0.000 0.000 0.616 Fe
0.000 0.500 0.000 Fe
0.000 0.500 0.500 Fe
0.038 0.642 0.174 Fe
0.038 0.642 0.826 Fe
0.066 0.724 0.374 Fe
0.066 0.724 0.626 Fe
0.097 0.903 0.199 Fe
0.097 0.903 0.801 Fe
0.142 0.462 0.326 Fe
0.142 0.462 0.674 Fe
0.183 0.183 0.254 Fe
0.183 0.183 0.746 Fe
0.224 0.434 0.126 Fe
0.224 0.434 0.874 Fe
0.276 0.934 0.374 Fe
0.276 0.934 0.626 Fe
0.317 0.683 0.246 Fe
0.317 0.683 0.754 Fe
0.358 0.962 0.174 Fe
0.358 0.962 0.826 Fe
0.403 0.403 0.301 Fe
0.403 0.403 0.699 Fe
0.434 0.224 0.126 Fe
0.434 0.224 0.874 Fe
0.462 0.142 0.326 Fe
0.462 0.142 0.674 Fe
0.500 0.000 0.000 Fe
0.500 0.000 0.500 Fe
0.500 0.500 0.116 Fe
0.500 0.500 0.884 Fe
0.538 0.858 0.326 Fe
0.538 0.858 0.674 Fe
0.566 0.776 0.126 Fe
0.566 0.776 0.874 Fe
0.597 0.597 0.301 Fe
0.597 0.597 0.699 Fe
0.642 0.038 0.174 Fe
0.642 0.038 0.826 Fe
0.683 0.317 0.246 Fe
0.683 0.317 0.754 Fe
0.724 0.066 0.374 Fe
0.724 0.066 0.626 Fe
0.776 0.566 0.126 Fe
0.776 0.566 0.874 Fe
0.817 0.817 0.254 Fe
0.817 0.817 0.746 Fe
0.858 0.538 0.326 Fe
0.858 0.538 0.674 Fe
0.903 0.097 0.199 Fe
0.903 0.097 0.801 Fe
0.934 0.276 0.374 Fe
0.934 0.276 0.626 Fe
0.962 0.358 0.174 Fe
0.962 0.358 0.826 Fe
0.125 0.875 0.500 B
0.375 0.375 0.000 B
0.625 0.625 0.000 B
0.875 0.125 0.500 B
```

Properties
The space group is P4_2/mnm (136). The calculation puts the total magnetic moment at 30.8 μB/f.u.

***

An optimized crystal structure of Er3FeB7. Source: the Open Quantum Materials Database, functional PBE.

Cell and atoms, written as POSCAR:
```
Er3FeB7
1.0
1.693 -7.762 0.000
1.693 7.762 0.000
0.000 0.000 9.232
Er Fe B
6 2 14
Direct
0.105 0.895 0.560 Er
0.105 0.895 0.940 Er
0.243 0.757 0.250 Er
0.757 0.243 0.750 Er
0.895 0.105 0.060 Er
0.895 0.105 0.440 Er
0.054 0.946 0.250 Fe
0.946 0.054 0.750 Fe
0.272 0.728 0.533 B
0.272 0.728 0.967 B
0.370 0.630 0.653 B
0.370 0.630 0.847 B
0.458 0.542 0.250 B
0.479 0.521 0.598 B
0.479 0.521 0.902 B
0.521 0.479 0.098 B
0.521 0.479 0.402 B
0.542 0.458 0.750 B
0.630 0.370 0.153 B
0.630 0.370 0.347 B
0.728 0.272 0.033 B
0.728 0.272 0.467 B
```

Properties
The space group is Cmcm (63). The calculation puts the total magnetic moment at 0.3 μB/f.u.

***

An optimized crystal structure of Er2Fe4B. Source: the Open Quantum Materials Database, functional PBE.

Cell and atoms, written as POSCAR:
```
Er2Fe4B
1.0
-1.961 1.961 7.339
1.961 -1.961 7.339
1.961 1.961 -7.339
Er Fe B
2 4 1
Direct
0.160 0.160 0.000 Er
0.840 0.840 0.000 Er
0.000 0.500 0.500 Fe
0.369 0.369 0.000 Fe
0.500 0.000 0.500 Fe
0.631 0.631 0.000 Fe
0.500 0.500 0.000 B
```

Properties
The space group is I4/mmm (139). The calculation puts the total magnetic moment at 7.4 μB/f.u.

***

An optimized crystal structure of ErFeB4. Source: the Open Quantum Materials Database, functional PBE.

Cell and atoms, written as POSCAR:
```
ErFeB4
1.0
3.130 0.000 0.000
-1.565 2.711 0.000
0.000 0.000 6.489
Er Fe B
1 1 4
Direct
0.000 0.000 0.000 Er
0.000 0.000 0.500 Fe
0.333 0.667 0.297 B
0.333 0.667 0.703 B
0.667 0.333 0.297 B
0.667 0.333 0.703 B
```

Properties
The space group is P6/mmm (191). The calculation puts the total magnetic moment at 0.9 μB/f.u. For the relative energy among the computed polymorphs, the calculation gives 267 meV per atom.

***

An optimized crystal structure of Er2Fe14B. Source: the Open Quantum Materials Database, functional PBE.

Cell and atoms, written as POSCAR:
```
Er2Fe14B
1.0
8.701 0.000 0.000
0.000 8.701 0.000
0.000 0.000 11.846
Er Fe B
8 56 4
Direct
0.143 0.143 0.000 Er
0.232 0.232 0.500 Er
0.268 0.732 0.000 Er
0.357 0.643 0.500 Er
0.643 0.357 0.500 Er
0.732 0.268 0.000 Er
0.768 0.768 0.500 Er
0.857 0.857 0.000 Er
0.000 0.000 0.384 Fe
0.000 0.000 0.616 Fe
0.000 0.500 0.000 Fe
0.000 0.500 0.500 Fe
0.038 0.642 0.174 Fe
0.038 0.642 0.826 Fe
0.066 0.724 0.374 Fe
0.066 0.724 0.626 Fe
0.097 0.903 0.199 Fe
0.097 0.903 0.801 Fe
0.142 0.462 0.326 Fe
0.142 0.462 0.674 Fe
0.183 0.183 0.254 Fe
0.183 0.183 0.746 Fe
0.224 0.434 0.126 Fe
0.224 0.434 0.874 Fe
0.276 0.934 0.374 Fe
0.276 0.934 0.626 Fe
0.317 0.683 0.246 Fe
0.317 0.683 0.754 Fe
0.358 0.962 0.174 Fe
0.358 0.962 0.826 Fe
0.403 0.403 0.301 Fe
0.403 0.403 0.699 Fe
0.434 0.224 0.126 Fe
0.434 0.224 0.874 Fe
0.462 0.142 0.326 Fe
0.462 0.142 0.674 Fe
0.500 0.000 0.000 Fe
0.500 0.000 0.500 Fe
0.500 0.500 0.116 Fe
0.500 0.500 0.884 Fe
0.538 0.858 0.326 Fe
0.538 0.858 0.674 Fe
0.566 0.776 0.126 Fe
0.566 0.776 0.874 Fe
0.597 0.597 0.301 Fe
0.597 0.597 0.699 Fe
0.642 0.038 0.174 Fe
0.642 0.038 0.826 Fe
0.683 0.317 0.246 Fe
0.683 0.317 0.754 Fe
0.724 0.066 0.374 Fe
0.724 0.066 0.626 Fe
0.776 0.566 0.126 Fe
0.776 0.566 0.874 Fe
0.817 0.817 0.254 Fe
0.817 0.817 0.746 Fe
0.858 0.538 0.326 Fe
0.858 0.538 0.674 Fe
0.903 0.097 0.199 Fe
0.903 0.097 0.801 Fe
0.934 0.276 0.374 Fe
0.934 0.276 0.626 Fe
0.962 0.358 0.174 Fe
0.962 0.358 0.826 Fe
0.125 0.875 0.500 B
0.375 0.375 0.000 B
0.625 0.625 0.000 B
0.875 0.125 0.500 B
```

Properties
The space group is P4_2/mnm (136). The calculation puts the total magnetic moment at 30.8 μB/f.u.

***

An optimized crystal structure of GdErFe2B2N2. Source: the Open Quantum Materials Database, functional PBE.

Cell and atoms, written as POSCAR:
```
GdErFe2B2N2
1.0
3.449 0.000 0.000
0.000 3.449 0.000
0.000 0.000 7.711
Gd Er Fe B N
1 1 2 2 2
Direct
0.000 0.000 0.000 Gd
0.500 0.500 0.669 Er
0.000 0.500 0.335 Fe
0.500 0.000 0.335 Fe
0.000 0.000 0.498 B
0.500 0.500 0.168 B
0.000 0.000 0.691 N
0.500 0.500 0.974 N
```

Properties
The space group is P4mm (99). The calculation puts the total magnetic moment at 2.4 μB/f.u.

***

An optimized crystal structure of Er2Fe14BH4. Source: the Open Quantum Materials Database, functional PBE.

Cell and atoms, written as POSCAR:
```
Er2Fe14BH4
1.0
8.832 0.000 0.000
0.000 8.832 0.000
0.000 0.000 12.058
Er Fe B H
8 56 4 16
Direct
0.158 0.158 0.000 Er
0.234 0.234 0.500 Er
0.266 0.734 0.000 Er
0.342 0.658 0.500 Er
0.658 0.342 0.500 Er
0.734 0.266 0.000 Er
0.766 0.766 0.500 Er
0.842 0.842 0.000 Er
0.000 0.000 0.389 Fe
0.000 0.000 0.611 Fe
0.000 0.500 0.000 Fe
0.000 0.500 0.500 Fe
0.039 0.635 0.176 Fe
0.039 0.635 0.824 Fe
0.061 0.725 0.377 Fe
0.061 0.725 0.623 Fe
0.103 0.897 0.212 Fe
0.103 0.897 0.788 Fe
0.135 0.461 0.324 Fe
0.135 0.461 0.676 Fe
0.185 0.185 0.257 Fe
0.185 0.185 0.743 Fe
0.225 0.439 0.123 Fe
0.225 0.439 0.877 Fe
0.275 0.939 0.377 Fe
0.275 0.939 0.623 Fe
0.315 0.685 0.243 Fe
0.315 0.685 0.757 Fe
0.365 0.961 0.176 Fe
0.365 0.961 0.824 Fe
0.397 0.397 0.288 Fe
0.397 0.397 0.712 Fe
0.439 0.225 0.123 Fe
0.439 0.225 0.877 Fe
0.461 0.135 0.324 Fe
0.461 0.135 0.676 Fe
0.500 0.000 0.000 Fe
0.500 0.000 0.500 Fe
0.500 0.500 0.111 Fe
0.500 0.500 0.889 Fe
0.539 0.865 0.324 Fe
0.539 0.865 0.676 Fe
0.561 0.775 0.123 Fe
0.561 0.775 0.877 Fe
0.603 0.603 0.288 Fe
0.603 0.603 0.712 Fe
0.635 0.039 0.176 Fe
0.635 0.039 0.824 Fe
0.685 0.315 0.243 Fe
0.685 0.315 0.757 Fe
0.725 0.061 0.377 Fe
0.725 0.061 0.623 Fe
0.775 0.561 0.123 Fe
0.775 0.561 0.877 Fe
0.815 0.815 0.257 Fe
0.815 0.815 0.743 Fe
0.865 0.539 0.324 Fe
0.865 0.539 0.676 Fe
0.897 0.103 0.212 Fe
0.897 0.103 0.788 Fe
0.939 0.275 0.377 Fe
0.939 0.275 0.623 Fe
0.961 0.365 0.176 Fe
0.961 0.365 0.824 Fe
0.125 0.875 0.500 B
0.375 0.375 0.000 B
0.625 0.625 0.000 B
0.875 0.125 0.500 B
0.032 0.196 0.148 H
0.032 0.196 0.852 H
0.196 0.032 0.148 H
0.196 0.032 0.852 H
0.304 0.532 0.352 H
0.304 0.532 0.648 H
0.468 0.696 0.352 H
0.468 0.696 0.648 H
0.532 0.304 0.352 H
0.532 0.304 0.648 H
0.696 0.468 0.352 H
0.696 0.468 0.648 H
0.804 0.968 0.148 H
0.804 0.968 0.852 H
0.968 0.804 0.148 H
0.968 0.804 0.852 H
```

Properties
The space group is P4_2/mnm (136). The calculation puts the total magnetic moment at 30.3 μB/f.u.

***

An optimized crystal structure of Ho2ErFe2B2N3. Source: the Open Quantum Materials Database, functional PBE.

Cell and atoms, written as POSCAR:
```
Ho2ErFe2B2N3
1.0
-1.711 1.711 10.139
1.711 -1.711 10.139
1.711 1.711 -10.139
Ho Er Fe B N
2 1 2 2 3
Direct
0.121 0.121 0.000 Ho
0.879 0.879 0.000 Ho
0.500 0.500 0.000 Er
0.250 0.750 0.500 Fe
0.750 0.250 0.500 Fe
0.313 0.313 0.000 B
0.687 0.687 0.000 B
0.000 0.000 0.000 N
0.386 0.386 0.000 N
0.614 0.614 0.000 N
```

Properties
The space group is I4/mmm (139). The calculation puts the total magnetic moment at 2.4 μB/f.u.

***

An optimized crystal structure of HoErFe2B2N2. Source: the Open Quantum Materials Database, functional PBE.

Cell and atoms, written as POSCAR:
```
HoErFe2B2N2
1.0
3.422 0.000 0.000
0.000 3.422 0.000
0.000 0.000 7.677
Ho Er Fe B N
1 1 2 2 2
Direct
0.000 0.000 0.000 Ho
0.500 0.500 0.329 Er
0.000 0.500 0.664 Fe
0.500 0.000 0.664 Fe
0.000 0.000 0.499 B
0.500 0.500 0.830 B
0.000 0.000 0.305 N
0.500 0.500 0.025 N
```

Properties
The space group is P4mm (99). The calculation puts the total magnetic moment at 2.3 μB/f.u.

***

An optimized crystal structure of HoErFe2Ni6B2. Source: the Open Quantum Materials Database, functional PBE.

Cell and atoms, written as POSCAR:
```
HoErFe2Ni6B2
1.0
4.986 0.000 0.000
-2.493 4.318 0.000
0.000 0.000 7.008
Ho Er Fe Ni B
1 1 2 6 2
Direct
0.000 0.000 0.000 Ho
0.000 0.000 0.500 Er
0.333 0.667 0.000 Fe
0.667 0.333 0.000 Fe
0.000 0.500 0.293 Ni
0.000 0.500 0.707 Ni
0.500 0.000 0.293 Ni
0.500 0.000 0.707 Ni
0.500 0.500 0.293 Ni
0.500 0.500 0.707 Ni
0.333 0.667 0.500 B
0.667 0.333 0.500 B
```

Properties
The space group is P6/mmm (191). The calculation puts the total magnetic moment at 5.0 μB/f.u.

***

An optimized crystal structure of HoErFe2Ni6B2. Source: the Open Quantum Materials Database, functional PBE.

Cell and atoms, written as POSCAR:
```
HoErFe2Ni6B2
1.0
4.999 0.000 0.000
-2.500 4.329 0.000
0.000 0.000 6.987
Ho Er Fe Ni B
1 1 2 6 2
Direct
0.000 0.000 0.000 Ho
0.000 0.000 0.500 Er
0.333 0.667 0.500 Fe
0.667 0.333 0.500 Fe
0.000 0.500 0.207 Ni
0.000 0.500 0.793 Ni
0.500 0.000 0.207 Ni
0.500 0.000 0.793 Ni
0.500 0.500 0.207 Ni
0.500 0.500 0.793 Ni
0.333 0.667 0.000 B
0.667 0.333 0.000 B
```

Properties
The space group is P6/mmm (191). The calculation puts the total magnetic moment at 5.2 μB/f.u.

***

Across the entries above, calculated total energy takes the values -6.852; -7.236; -7.891; -6.887; -6.929; -6.968; -7.891; -8.003; -7.043; -8.066; -8.023; -6.445; -6.443 eV per atom, respectively.